Density functional theory data (PBE) for a relaxed structure of Dy6Al2O.

Properties
Its electronic total energy is -5.242 eV/atom. As for the density of states at the Fermi level: 6.54 states/eV/cell. The calculation puts the formation energy without anion corrections at -792 meV/atom.

The structure in POSCAR format:
```
Dy6Al2O
1.0
-3.3779 3.3779 4.7703
3.3779 -3.3779 4.7703
3.3779 3.3779 -4.7703
Dy Al O
6 2 1
Direct
0.2476 0.2476 0.0000
0.2478 0.2478 0.4956
0.2478 0.7522 0.0000
0.7522 0.2478 0.0000
0.7524 0.7524 0.0000
0.7522 0.7522 0.5044
0.2500 0.7500 0.5000
0.7500 0.2500 0.5000
0.0000 0.0000 0.0000
```

=====

Density functional theory data (PBE) for a relaxed structure of SbOs2Br.

Properties
Its electronic total energy is -6.153 eV/atom. As for the density of states at the Fermi level: 5.32 states/eV/cell. The calculation puts the formation energy without anion corrections at 911 meV/atom. Its energy above the most stable polymorph in this dataset is 485.0 meV/atom.

The structure in POSCAR format:
```
SbOs2Br
1.0
1.4541 -2.6525 0.0000
1.4541 2.6525 0.0000
0.0000 0.0000 10.4408
Sb Os Br
1 2 1
Direct
0.0000 0.0000 0.0000
0.0000 0.0000 0.4317
0.5000 0.5000 0.2303
0.5000 0.5000 0.6531
```

=====

Density functional theory data (PBE) for a relaxed structure of NaTmS2.

Properties
Its electronic total energy is -5.329 eV/atom. As for the density of states at the Fermi level: 0.00 states/eV/cell. The calculation puts the formation energy without anion corrections at -1818 meV/atom.

The structure in POSCAR format:
```
NaTmS2
1.0
1.9508 1.1263 6.9147
-1.9508 1.1263 6.9147
0.0000 -2.2526 6.9147
Na Tm S
1 1 2
Direct
0.0000 0.0000 0.0000
0.8294 0.8294 0.8294
0.2358 0.2358 0.2358
0.4230 0.4230 0.4230
```